# 1
Nb2VIn | GGA-PBE | relaxed

Results
SG: P4/mmm, No. 123
VASP energy: -7.91 eV/atom
energy of formation from the pure elements: 2.05 kcal/mol of atoms

Lattice parameters (Å, degrees): 4.5090 3.9747 3.9747 90.00 90.00 90.00
Last column: nearest neighbours and their distance in Å.
Element x y z (fractional)
Nb  0.0000  0.0000  0.5000  4 Nb 2.81, 4 In 3.01, 4 V 3.01
Nb  0.0000  0.5000  0.0000  4 Nb 2.81, 4 In 3.01, 4 V 3.01
V  0.5000  0.0000  0.0000  4 In 2.81, 8 Nb 3.01
In  0.5000  0.5000  0.5000  4 V 2.81, 8 Nb 3.01

***

# 2
BPHAu | GGA-PBE | relaxed

Results
polymorph energy (0 for the lowest one): 0.1772 eV per atom
SG: Cm, No. 8
VASP energy: -4.58 eV/atom

Lattice parameters (Å, degrees): 3.2453 3.9303 4.4917 83.96 68.85 90.01
Last column: nearest neighbours and their distance in Å.
Element x y z (fractional)
B  0.4102  0.0366  0.2131  1 H 1.30
P  0.7842  0.0206  0.4657  2 B 1.93
H  0.4455  0.7244  0.1414  1 B 1.30
Au  0.6083  0.4560  0.8169  1 H 1.81

***

# 3
VFe2ReSn | GGA-PBE | relaxed

Results
SG: P4/mmm, No. 123
VASP energy: -6.92 eV/atom
energy of formation from the pure elements: 36.43 kcal/mol of atoms

Lattice parameters (Å, degrees): 4.4621 5.0530 4.4621 90.00 90.00 90.00
Last column: nearest neighbours and their distance in Å.
Element x y z (fractional)
Re  0.0000  0.0000  0.0000  4 Fe 2.23
V  0.5000  0.5000  0.5000  4 Sn 3.16, 8 Fe 3.37
Sn  0.0000  0.5000  0.0000  2 Re 2.53
Fe  0.0000  0.0000  0.5000  2 Re 2.23
Fe  0.5000  0.0000  0.0000  2 Re 2.23

***

# 4
CdHgAu2 | GGA-PBE | relaxed

Results
SG: P2/m, No. 10
VASP energy: -1.97 eV/atom
energy of formation from the pure elements: -0.71 kcal/mol of atoms

Lattice parameters (Å, degrees): 3.8154 3.3348 7.0300 62.87 90.00 90.00
Last column: nearest neighbours and their distance in Å.
Element x y z (fractional)
Au  0.0000  0.9876  0.0084  4 Cd 2.94-2.96, 4 Hg 2.98-3.03, 2 Au 3.02-3.23
Au  0.0000  0.5124  0.4916  4 Cd 2.94-2.96, 4 Hg 2.98-3.03, 2 Au 3.02-3.23
Hg  0.5000  0.7500  0.7500  8 Au 2.98-3.03, 2 Cd 3.13, 2 Hg 3.33
Cd  0.5000  0.2500  0.2500  8 Au 2.94-2.96, 2 Hg 3.13

***

# 5
K2SiCl | GGA-PBE | relaxed

Results
polymorph energy (0 for the lowest one): 0.0000 eV per atom
SG: P4/mmm, No. 123
VASP energy: -2.91 eV/atom

Lattice parameters (Å, degrees): 3.5398 3.5440 9.7940 68.78 90.00 90.00
Last column: nearest neighbours and their distance in Å.
Element x y z (fractional)
Cl  0.5000  0.7500  0.7500  8 K 3.17-3.18, 4 Cl 3.54
K  0.0000  0.0358  0.9638  4 Cl 3.17-3.18, 4 K 3.54
K  0.0000  0.4642  0.5362  4 Cl 3.17-3.18, 4 K 3.54
Si  0.5000  0.2500  0.2500  4 Si 3.54, 8 K 3.62

***

# 6
Na3Ac2PtO6 | GGA-PBE | relaxed

Results
SG: C2/m, No. 12
VASP energy: -5.87 eV/atom

Lattice parameters (Å, degrees): 6.1822 6.1822 6.0156 98.89 98.89 120.27
Last column: nearest neighbours and their distance in Å.
Element x y z (fractional)
Na  0.1419  0.8581  0.5000  4 O 2.42-2.45
Na  0.8581  0.1419  0.5000  4 O 2.42-2.45
Na  0.5000  0.5000  0.5000  6 O 2.51-2.81
Ac  0.3288  0.6712  0.0000  6 O 2.49-2.54
Ac  0.6712  0.3288  0.0000  6 O 2.49-2.54
Pt  0.0000  0.0000  0.0000  6 O 2.12-2.36
O  0.9204  0.6118  0.7625  1 Pt 2.36, 2 Na 2.45-2.51, 2 Ac 2.49-2.52
O  0.7754  0.7754  0.2045  1 Pt 2.12
O  0.0796  0.3882  0.2375  1 Pt 2.36, 2 Na 2.45-2.51, 2 Ac 2.49-2.52
O  0.6118  0.9204  0.7625  1 Pt 2.36, 2 Na 2.45-2.51, 2 Ac 2.49-2.52
O  0.2246  0.2246  0.7955  1 Pt 2.12
O  0.3882  0.0796  0.2375  1 Pt 2.36, 2 Na 2.45-2.51, 2 Ac 2.49-2.52

***

# 7
Th4Te2IrRh | GGA-PBE | relaxed

Results
SG: P2/m, No. 10
VASP energy: -7.61 eV/atom

Lattice parameters (Å, degrees): 4.2183 8.0612 7.2408 72.67 90.00 90.00
Last column: nearest neighbours and their distance in Å.
Element x y z (fractional)
Th  0.0000  0.7028  0.7623  1 Ir 2.85, 2 Rh 2.90
Th  0.0000  0.2972  0.2377  1 Ir 2.85, 2 Rh 2.90
Th  0.5000  0.7023  0.2647  1 Rh 2.86, 2 Ir 2.89
Th  0.5000  0.2977  0.7353  1 Rh 2.86, 2 Ir 2.89
Te  0.0000  0.0000  0.0000  6 Th 3.34
Te  0.5000  0.0000  0.5000  6 Th 3.33
Ir  0.0000  0.5000  0.5000  6 Th 2.85-2.89
Rh  0.5000  0.5000  0.0000  6 Th 2.86-2.90

***

# 8
Tb8Nd2Tl | GGA-PBE | relaxed

Results
polymorph energy (0 for the lowest one): 0.0123 eV per atom
SG: P-1, No. 2
VASP energy: -4.47 eV/atom
energy of formation from the pure elements: -0.49 kcal/mol of atoms

Lattice parameters (Å, degrees): 6.1520 6.1501 9.3566 96.41 90.31 99.63
Last column: nearest neighbours and their distance in Å.
Element x y z (fractional)
Tb  0.4068  0.4524  0.8266  8 Tb 3.39-3.60, 2 Tl 3.50-3.53, 2 Nd 3.55-3.69
Tb  0.6792  0.0877  0.3555  1 Tl 3.45, 7 Tb 3.49-3.64, 4 Nd 3.56-3.61
Tb  0.8601  0.1917  0.7298  8 Tb 3.48-3.62, 3 Nd 3.50-3.63, 1 Tl 3.54
Tb  0.9618  0.7351  0.9113  9 Tb 3.44-3.60, 2 Tl 3.49-3.56, 1 Nd 3.61
Tb  0.1399  0.8083  0.2702  8 Tb 3.48-3.62, 3 Nd 3.50-3.63, 1 Tl 3.54
Tb  0.3208  0.9123  0.6445  1 Tl 3.45, 7 Tb 3.49-3.64, 4 Nd 3.56-3.61
Tb  0.5932  0.5476  0.1734  8 Tb 3.39-3.60, 2 Tl 3.50-3.53, 2 Nd 3.55-3.69
Tb  0.0382  0.2649  0.0887  9 Tb 3.44-3.60, 2 Tl 3.49-3.56, 1 Nd 3.61
Nd  0.7781  0.6358  0.5391  2 Nd 3.47-3.58, 10 Tb 3.50-3.69
Nd  0.2219  0.3642  0.4609  2 Nd 3.47-3.58, 10 Tb 3.50-3.69
Tl  0.5000  0.0000  0.0000  12 Tb 3.45-3.56

***

# 9
Dy7Ho4In | GGA-PBE | relaxed

Results
polymorph energy (0 for the lowest one): 0.1747 eV per atom
SG: C2/m, No. 12
VASP energy: -4.28 eV/atom
energy of formation from the pure elements: 3.59 kcal/mol of atoms

Lattice parameters (Å, degrees): 5.8234 8.5229 9.6246 61.25 72.39 70.02
Last column: nearest neighbours and their distance in Å.
Element x y z (fractional)
Dy  0.8392  0.9887  0.3330  1 In 3.02, 3 Ho 3.25-3.28
Dy  0.1608  0.0113  0.6670  1 In 3.02, 3 Ho 3.25-3.28
Dy  0.0631  0.5971  0.2768  1 In 3.15, 1 Ho 3.22, 1 Dy 3.39
Dy  0.9369  0.4029  0.7232  1 In 3.15, 1 Ho 3.22, 1 Dy 3.39
Dy  0.2836  0.5363  0.8964  6 Dy 3.39-3.72, 4 Ho 3.41-3.57
Dy  0.5000  0.0000  0.0000  2 In 2.91
Dy  0.7164  0.4637  0.1036  6 Dy 3.39-3.72, 4 Ho 3.41-3.57
Ho  0.6004  0.2852  0.5140  2 Ho 3.34-3.50, 4 Dy 3.42-3.56
Ho  0.3996  0.7148  0.4860  2 Ho 3.34-3.50, 4 Dy 3.42-3.56
Ho  0.7358  0.8053  0.7232  8 Dy 3.22-3.57, 1 Ho 3.50
Ho  0.2642  0.1947  0.2768  8 Dy 3.22-3.57, 1 Ho 3.50
In  0.0000  0.0000  0.0000  6 Dy 2.91-3.15

***

# 10
LiTl2Ir | GGA-PBE | relaxed

Results
SG: P4mm, No. 99
VASP energy: -3.73 eV/atom
energy of formation from the pure elements: 3.47 kcal/mol of atoms

Lattice parameters (Å, degrees): 3.3349 3.3349 7.2024 90.00 90.00 90.00
Last column: nearest neighbours and their distance in Å.
Element x y z (fractional)
Ir  0.0000  0.0000  0.5417  4 Li 2.63, 5 Tl 2.90-2.92
Li  0.5000  0.5000  0.7024  4 Ir 2.63, 1 Tl 2.84
Tl  0.0000  0.0000  0.9476  1 Ir 2.92, 4 Li 2.95
Tl  0.5000  0.5000  0.3083  1 Li 2.84, 4 Ir 2.90

***

# 11
Cs2Sc2Bi2Te | GGA-PBE | relaxed

Results
SG: I4/mmm, No. 139
VASP energy: -4.24 eV/atom

Lattice parameters (Å, degrees): 5.4082 5.4082 10.6360 104.73 104.73 90.00
Last column: nearest neighbours and their distance in Å.
Element x y z (fractional)
Cs  0.1832  0.1832  0.3664  1 Te 3.64
Cs  0.8168  0.8168  0.6336  1 Te 3.64
Sc  0.0000  0.5000  0.0000  2 Te 2.70
Sc  0.5000  0.0000  0.0000  2 Te 2.70
Bi  0.4031  0.4031  0.8061  4 Sc 3.32
Bi  0.5969  0.5969  0.1939  4 Sc 3.32
Te  0.0000  0.0000  0.0000  4 Sc 2.70

***

# 12
NaSnSbBr6 | GGA-PBE | relaxed

Results
SG: P4_2nm, No. 102
VASP energy: -3.01 eV/atom

Lattice parameters (Å, degrees): 6.9844 6.9844 13.1236 90.00 90.00 90.00
Last column: nearest neighbours and their distance in Å.
Element x y z (fractional)
Na  0.5000  0.5000  0.4993  6 Br 3.00-3.03
Na  0.0000  0.0000  0.9993  6 Br 3.00-3.03
Sn  0.5000  0.5000  0.1679  6 Br 2.98-3.02
Sn  0.0000  0.0000  0.6679  6 Br 2.98-3.02
Sb  0.5000  0.5000  0.8324  6 Br 2.83-2.85
Sb  0.0000  0.0000  0.3324  6 Br 2.83-2.85
Br  0.1932  0.8068  0.4934  1 Sb 2.85, 1 Sn 2.98, 1 Na 3.03
Br  0.8068  0.1932  0.4934  1 Sb 2.85, 1 Sn 2.98, 1 Na 3.03
Br  0.3068  0.3068  0.9934  1 Sb 2.85, 1 Sn 2.98, 1 Na 3.03
Br  0.6932  0.6932  0.9934  1 Sb 2.85, 1 Sn 2.98, 1 Na 3.03
Br  0.1948  0.8052  0.1744  1 Sb 2.83, 1 Na 3.00, 1 Sn 3.02
Br  0.8052  0.1948  0.1744  1 Sb 2.83, 1 Na 3.00, 1 Sn 3.02
Br  0.3052  0.3052  0.6744  1 Sb 2.83, 1 Na 3.00, 1 Sn 3.02
Br  0.6948  0.6948  0.6744  1 Sb 2.83, 1 Na 3.00, 1 Sn 3.02
Br  0.7884  0.2116  0.8324  1 Sb 2.85, 1 Sn 3.00, 1 Na 3.03
Br  0.2116  0.7884  0.8324  1 Sb 2.85, 1 Sn 3.00, 1 Na 3.03
Br  0.7116  0.7116  0.3324  1 Sb 2.85, 1 Sn 3.00, 1 Na 3.03
Br  0.2884  0.2884  0.3324  1 Sb 2.85, 1 Sn 3.00, 1 Na 3.03

***

# 13
KSnBiPb | GGA-PBE | relaxed

Results
polymorph energy (0 for the lowest one): 0.0000 eV per atom
SG: R3m, No. 160
VASP energy: -3.21 eV/atom
energy of formation from the pure elements: -0.87 kcal/mol of atoms

Lattice parameters (Å, degrees): 5.3835 5.3835 6.9601 67.25 67.25 60.00
Last column: nearest neighbours and their distance in Å.
Element x y z (fractional)
K  0.8162  0.8162  0.5515  1 Sn 3.58, 4 Bi 3.78-3.95, 3 Pb 3.80
Sn  0.6247  0.6247  0.1258  3 Pb 3.14, 3 Bi 3.31
Bi  0.0187  0.0187  0.9439  3 Sn 3.31, 3 Pb 3.50
Pb  0.2663  0.2663  0.2012  3 Sn 3.14, 3 Bi 3.50

***

# 14
BaTh2Ga6 | GGA-PBE | relaxed

Results
SG: P6/mmm, No. 191
VASP energy: -4.39 eV/atom
energy of formation from the pure elements: -11.78 kcal/mol of atoms

Lattice parameters (Å, degrees): 4.4096 7.5383 7.5383 120.00 90.00 90.00
Last column: nearest neighbours and their distance in Å.
Element x y z (fractional)
Ba  0.0000  0.0000  0.0000  12 Ga 3.37
Th  0.0000  0.3333  0.6667  12 Ga 3.33
Th  0.0000  0.6667  0.3333  12 Ga 3.33
Ga  0.5000  0.3387  0.3387  3 Ga 2.43-2.55
Ga  0.5000  0.6613  0.6613  3 Ga 2.43-2.55
Ga  0.5000  0.0000  0.6613  3 Ga 2.43-2.55
Ga  0.5000  0.6613  0.0000  3 Ga 2.43-2.55
Ga  0.5000  0.3387  0.0000  3 Ga 2.43-2.55
Ga  0.5000  0.0000  0.3387  3 Ga 2.43-2.55

***

# 15
MgCr | GGA-PBE | relaxed

Results
polymorph energy (0 for the lowest one): 1.1243 eV per atom
SG: I-43m, No. 217
VASP energy: -4.24 eV/atom
energy of formation from the pure elements: 31.57 kcal/mol of atoms

Lattice parameters (Å, degrees): 8.2049 8.2049 8.2049 90.00 90.00 90.00
Last column: nearest neighbours and their distance in Å.
Element x y z (fractional)
Mg  0.2102  0.2102  0.2102  4 Cr 2.79-2.84
Mg  0.2102  0.7898  0.7898  4 Cr 2.79-2.84
Mg  0.7898  0.2102  0.7898  4 Cr 2.79-2.84
Mg  0.7898  0.7898  0.2102  4 Cr 2.79-2.84
Mg  0.7102  0.7102  0.7102  4 Cr 2.79-2.84
Mg  0.7102  0.2898  0.2898  4 Cr 2.79-2.84
Mg  0.2898  0.7102  0.2898  4 Cr 2.79-2.84
Mg  0.2898  0.2898  0.7102  4 Cr 2.79-2.84
Cr  0.4062  0.4062  0.4062  3 Cr 2.18
Cr  0.4062  0.5938  0.5938  3 Cr 2.18
Cr  0.5938  0.4062  0.5938  3 Cr 2.18
Cr  0.5938  0.5938  0.4062  3 Cr 2.18
Cr  0.9062  0.9062  0.9062  3 Cr 2.18
Cr  0.9062  0.0938  0.0938  3 Cr 2.18
Cr  0.0938  0.9062  0.0938  3 Cr 2.18
Cr  0.0938  0.0938  0.9062  3 Cr 2.18

***

# 16
CaTcSI2 | GGA-PBE | relaxed

Results
SG: P4/mmm, No. 123
VASP energy: -3.66 eV/atom

Lattice parameters (Å, degrees): 5.0783 6.0989 5.0783 90.00 90.00 90.00
Last column: nearest neighbours and their distance in Å.
Element x y z (fractional)
I  0.0000  0.0000  0.5000  2 Tc 2.54
I  0.5000  0.0000  0.0000  2 Tc 2.54
Ca  0.0000  0.5000  0.0000  2 Tc 3.05
S  0.5000  0.5000  0.5000  4 Ca 3.59, 8 I 3.97
Tc  0.0000  0.0000  0.0000  4 I 2.54

***

# 17
Te2Au | GGA-PBE | relaxed

Results
SG: C2/m, No. 12
VASP energy: -3.21 eV/atom

Lattice parameters (Å, degrees): 7.4897 7.4897 7.9967 80.32 80.32 31.10
Last column: nearest neighbours and their distance in Å.
Element x y z (fractional)
Au  0.0296  0.0296  0.9966  4 Te 2.71-2.72
Au  0.3593  0.3593  0.7257  4 Te 2.71-2.72
Te  0.4462  0.4462  0.1958  2 Au 2.71
Te  0.6100  0.6100  0.7911  2 Au 2.72, 1 Te 2.85
Te  0.7789  0.7789  0.9311  2 Au 2.72, 1 Te 2.85
Te  0.9427  0.9427  0.5264  2 Au 2.71

***

# 18
Cs2SmSnSe4 | GGA-PBE | relaxed

Results
SG: Fddd, No. 70
VASP energy: -4.13 eV/atom

Lattice parameters (Å, degrees): 7.0696 8.5061 13.6211 83.81 74.96 65.45
Last column: nearest neighbours and their distance in Å.
Element x y z (fractional)
Cs  0.1818  0.0000  0.6364  8 Se 3.94-4.26
Cs  0.8182  0.0000  0.3636  8 Se 3.94-4.26
Cs  0.5682  0.5000  0.8636  8 Se 3.94-4.26
Cs  0.9318  0.5000  0.1364  8 Se 3.94-4.26
Sm  0.7500  0.5000  0.5000  4 Se 2.77
Sm  0.0000  0.0000  0.0000  4 Se 2.77
Sn  0.2500  0.5000  0.5000  4 Se 2.73
Sn  0.5000  0.0000  0.0000  4 Se 2.73
Se  0.3026  0.7973  0.1070  1 Sn 2.73, 1 Sm 2.77
Se  0.2070  0.2027  0.8930  1 Sn 2.73, 1 Sm 2.77
Se  0.9000  0.7973  0.8930  1 Sn 2.73, 1 Sm 2.77
Se  0.5903  0.2027  0.1070  1 Sn 2.73, 1 Sm 2.77
Se  0.4474  0.7027  0.3930  1 Sn 2.73, 1 Sm 2.77
Se  0.5430  0.2973  0.6070  1 Sn 2.73, 1 Sm 2.77
Se  0.8500  0.7027  0.6070  1 Sn 2.73, 1 Sm 2.77
Se  0.1597  0.2973  0.3930  1 Sn 2.73, 1 Sm 2.77

***

# 19
ZrTl2SnCl | GGA-PBE | relaxed

Results
SG: P4/mmm, No. 123
VASP energy: -3.14 eV/atom

Lattice parameters (Å, degrees): 5.8046 5.2530 5.8046 90.00 90.00 90.00
Last column: nearest neighbours and their distance in Å.
Element x y z (fractional)
Tl  0.0000  0.0000  0.5000  2 Sn 2.90
Tl  0.5000  0.0000  0.0000  2 Sn 2.90
Sn  0.0000  0.0000  0.0000  2 Cl 2.63, 4 Tl 2.90
Zr  0.5000  0.5000  0.5000  8 Tl 3.91, 4 Cl 4.10
Cl  0.0000  0.5000  0.0000  2 Sn 2.63

***

# 20
ScNb2Ru4 | GGA-PBE | relaxed

Results
polymorph energy (0 for the lowest one): 0.9677 eV per atom
SG: I4/mmm, No. 139
VASP energy: -8.20 eV/atom
energy of formation from the pure elements: 20.43 kcal/mol of atoms

Lattice parameters (Å, degrees): 4.5372 4.5372 7.1872 71.60 71.60 90.00
Last column: nearest neighbours and their distance in Å.
Element x y z (fractional)
Sc  0.0000  0.0000  0.0000  6 Ru 2.27-2.49
Ru  0.1937  0.1937  0.6127  1 Nb 2.26, 1 Sc 2.49
Ru  0.8063  0.8063  0.3873  1 Nb 2.26, 1 Sc 2.49
Ru  0.0000  0.5000  0.0000  2 Sc 2.27
Ru  0.5000  0.0000  0.0000  2 Sc 2.27
Nb  0.3691  0.3691  0.2619  1 Ru 2.26
Nb  0.6309  0.6309  0.7381  1 Ru 2.26

***

Number 1: V 71.2 Å³/cell. Number 2: V 53.1 Å³/cell. Number 3: V 100.6 Å³/cell. Number 4: V 79.6 Å³/cell. Number 5: V 114.5 Å³/cell. Number 6: V 188.8 Å³/cell. Number 7: V 235.0 Å³/cell. Number 8: V 346.7 Å³/cell. Number 9: V 388.0 Å³/cell. Number 10: V 80.1 Å³/cell. Number 11: V 290.3 Å³/cell. Number 12: V 640.2 Å³/cell. Number 13: V 156.3 Å³/cell. Number 14: V 217.0 Å³/cell. Number 15: V 552.4 Å³/cell. Number 16: V 157.3 Å³/cell. Number 17: V 228.1 Å³/cell. Number 18: V 719.5 Å³/cell. Number 19: V 177.0 Å³/cell. Number 20: V 132.4 Å³/cell.